Compound: Er3Mg2Zn4
Source: the Alexandria database
Functional: PBE
Structure: optimized geometry

Results
formation energy: -0.25 eV/atom
DOS at the Fermi energy: 5.39 states/eV/cell
crystal system: trigonal

Geometry as extended XYZ:
```
9
Lattice="4.8912 0.0000 0.0000 -2.4456 4.2359 0.0000 0.0000 0.0000 9.0782" Properties=species:S:1:pos:R:3 pbc="T T T"
Er 0.0000 0.0000 0.0000
Er 0.0000 2.8239 5.4037
Er 2.4456 1.4120 3.6745
Mg 0.0000 2.8239 2.0239
Mg 2.4456 1.4120 7.0543
Zn 0.0000 0.0000 3.1295
Zn 0.0000 0.0000 5.9487
Zn 0.0000 2.8239 8.2872
Zn 2.4456 1.4120 0.7911
```